1.
DFT (PBE-GGA) results for LiMg2Co after structural relaxation.

Values from the calculation:
- DFT formation energy (eV/atom) = 0.14
- E_tot (eV for the cell shown) = -11.64

a b c (Å): 9.4301 9.4301 9.4301
angles (deg): 17.90 17.90 17.90
Site moments in Bohr magnetons follow the coordinates.
Atoms (fractional coordinates):
Mg 0.9910 0.9910 0.9910  -0.01
Li 0.7500 0.7500 0.7500  -0.02
Co 0.2500 0.2500 0.2500  1.35
Mg 0.5090 0.5090 0.5090  -0.01

=====

2.
DFT (PBE-GGA) results for SrAuC3 after structural relaxation.

Values from the calculation:
- DFT formation energy (eV/atom) = 2.30
- E_tot (eV for the cell shown) = -21.12

a b c (Å): 4.3082 4.3082 4.3082
angles (deg): 90.00 90.00 90.00
Atoms (fractional coordinates):
C 0.5000 0.0000 0.0000
C 0.0000 0.5000 0.0000
Au 0.0000 0.0000 0.0000
C 0.0000 0.0000 0.5000
Sr 0.5000 0.5000 0.5000

=====

3.
DFT (PBE-GGA) results for Ac2Sn6Rh after structural relaxation.

Values from the calculation:
- DFT formation energy (eV/atom) = -0.54
- E_tot (eV for the cell shown) = -44.42

a b c (Å): 4.5314 4.6413 12.6744
angles (deg): 90.00 100.30 90.00
Atoms (fractional coordinates):
Sn 0.4535 0.5000 0.9070
Sn 0.7182 0.0000 0.4363
Sn 0.6025 0.0000 0.2051
Ac 0.3287 0.0000 0.6575
Rh 0.7742 0.5000 0.5484
Ac 0.9954 0.0000 0.9908
Sn 0.1002 0.5000 0.2004
Sn 0.2163 0.5000 0.4327
Sn 0.8799 0.5000 0.7599

=====

4.
DFT (PBE-GGA) results for ZrAuSe after structural relaxation.

Values from the calculation:
- energy relative to the elements, uncorrected (eV/atom) = -0.687
- E_tot (eV for the cell shown) = -17.37

a b c (Å): 5.9985 5.9987 3.3437
angles (deg): 73.81 73.82 32.37
Atoms (fractional coordinates):
Se 0.6899 0.6899 0.3101
Zr 0.3175 0.3175 0.6825
Au 0.9926 0.9926 0.0074

=====

5.
DFT (PBE-GGA) results for SrVB2N after structural relaxation.

Values from the calculation:
- energy relative to the elements, uncorrected (eV/atom) = 1.613
- E_tot (eV for the cell shown) = -24.42

a b c (Å): 3.8992 6.9063 3.8992
angles (deg): 90.00 90.00 90.00
Site moments in Bohr magnetons follow the coordinates.
Atoms (fractional coordinates):
V 0.0000 0.0000 0.0000  0.48
B 0.0000 0.0000 0.5000  0.02
Sr 0.0000 0.5000 0.0000  0.02
B 0.5000 0.0000 0.0000  0.00
N 0.5000 0.5000 0.5000  0.95

=====

6.
DFT (PBE-GGA) results for Th2ZnGe3Ir4 after structural relaxation.

Values from the calculation:
- DFT formation energy (eV/atom) = -0.76
- E_tot (eV for the cell shown) = -73.06

a b c (Å): 4.2195 4.2195 10.4725
angles (deg): 90.00 90.00 90.00
Atoms (fractional coordinates):
Ir 0.5000 0.0000 0.6391
Ge 0.0000 0.0000 0.5000
Ir 0.5000 0.5000 0.0000
Ir 0.0000 0.0000 0.0000
Th 0.5000 0.0000 0.2570
Zn 0.5000 0.5000 0.5000
Ge 0.5000 0.0000 0.8707
Ir 0.0000 0.5000 0.3609
Ge 0.0000 0.5000 0.1293
Th 0.0000 0.5000 0.7430

=====

no.,ρ (Mg/m³)
1,2.75
2,6.66
3,8.04
4,9.89
5,2.75
6,13.50